## Li3B7O12 (GGA-PBEsol)

Data for crystalline Li3B7O12 at its relaxed geometry.

a b c (Å): 6.502 7.853 8.531
angles (deg): 91.73 104.87 99.40
Positions (direct):
B  0.751  0.868  0.037
B  0.786  0.864  0.506
B  0.249  0.132  0.963
B  0.558  0.725  0.226
B  0.735  0.497  0.728
B  0.442  0.275  0.774
B  0.907  0.965  0.798
B  0.093  0.035  0.202
B  0.955  0.289  0.312
B  0.613  0.425  0.288
B  0.045  0.711  0.688
B  0.387  0.575  0.712
B  0.214  0.136  0.494
B  0.265  0.503  0.272
O  0.673  0.341  0.786
O  0.225  0.027  0.368
O  0.639  0.864  0.358
O  0.316  0.414  0.754
O  0.938  0.534  0.710
O  0.684  0.586  0.246
O  0.050  0.138  0.854
O  0.327  0.659  0.214
O  0.407  0.387  0.312
O  0.560  0.801  0.071
O  0.037  0.831  0.819
O  0.963  0.169  0.181
O  0.058  0.238  0.474
O  0.593  0.613  0.688
O  0.950  0.862  0.146
O  0.262  0.056  0.107
O  0.273  0.707  0.691
O  0.440  0.199  0.929
O  0.775  0.973  0.632
O  0.361  0.136  0.642
O  0.942  0.762  0.526
O  0.727  0.293  0.309
O  0.738  0.944  0.893
O  0.062  0.466  0.290
Li  0.219  0.801  0.031
Li  0.985  0.694  0.315
Li  0.513  0.076  0.307
Li  0.487  0.924  0.693
Li  0.015  0.306  0.685
Li  0.781  0.199  0.969

Calculated values
**Magnetic moment**: 0.00 μB per cell
**Volume**: 9.4 A^3/atom
**Space group**: P-1, No. 2
**Formation energy without anion corrections**: -2.463 eV/atom